1.
Density functional theory data (PBE) for crystalline ScHgW2 at its relaxed geometry.

Cell and atoms, written as extended XYZ:
```
4
Lattice="5.0053 0.0005 -0.0056 4.2033 2.7176 -0.0056 0.4452 0.1314 5.3684" Properties=species:S:1:pos:R:3 pbc="T T T"
Hg 4.8565 1.4335 2.7318
W 9.1987 2.7152 0.0881
W 2.3402 0.6908 1.2140
Sc 7.2939 2.1529 3.9906
```

Properties
The crystal system is monoclinic. The calculation puts the energy of formation from the pure elements at 43.2 kJ/mol of atoms.



2.
Density functional theory data (PBE) for crystalline ScHg2W at its relaxed geometry.

Cell and atoms, written as extended XYZ:
```
4
Lattice="2.9507 0.0487 0.0000 -0.4912 2.9099 0.0000 0.0000 0.0000 9.3165" Properties=species:S:1:pos:R:3 pbc="T T T"
Hg 1.2297 1.4793 2.4053
W 1.2297 1.4793 6.9133
Sc 0.0000 0.0000 4.7946
Hg 0.0000 0.0000 9.1780
```

Properties
The crystal system is orthorhombic. The calculation puts the energy of formation from the pure elements at 24.3 kJ/mol of atoms.



3.
Density functional theory data (PBE) for crystalline ScHg2W at its relaxed geometry.

Cell and atoms, written as extended XYZ:
```
4
Lattice="3.5761 0.0000 0.0000 0.0000 3.5761 0.0000 0.0000 0.0000 6.2573" Properties=species:S:1:pos:R:3 pbc="T T T"
W 1.7880 1.7880 4.6791
Sc 0.0000 0.0000 3.2308
Hg 0.0000 0.0000 6.1544
Hg 1.7880 1.7880 1.5789
```

Properties
The crystal system is tetragonal. The calculation puts the energy of formation from the pure elements at 38.8 kJ/mol of atoms.



4.
Density functional theory data (PBE) for crystalline ScHg2W at its relaxed geometry.

Cell and atoms, written as extended XYZ:
```
4
Lattice="5.8031 0.1614 0.6869 4.9372 3.0538 0.6869 1.8402 0.5509 4.8724" Properties=species:S:1:pos:R:3 pbc="T T T"
Hg 9.3162 2.7889 4.3352
Sc 6.5014 1.9462 3.4359
W 2.9644 0.8874 1.1861
Hg 10.8291 3.2418 1.7858
```

Properties
The crystal system is monoclinic. The calculation puts the energy of formation from the pure elements at 32.0 kJ/mol of atoms.